A geometry-optimized YTm3Tl2 structure. Source: the Alexandria database, functional GGA-PBE.

Properties
**Energy relative to the elements**: -15 kJ per mole of atoms
**SG**: No. 12
**Density**: 9.68 g cm⁻³
**Energy relative to the lowest polymorph listed for this composition**: 2.59 kcal/mol of atoms
**Final energy**: -4.257 eV per atom

a = 8.5328 Å, b = 8.5328 Å, c = 9.2117 Å
α = 118.20°, β = 118.20°, γ = 36.34°
Atoms (fractional coordinates):
Y (0.1314, 0.1314, 0.1690)
Y (0.8686, 0.8686, 0.8310)
Tm (0.0582, 0.0582, 0.7149)
Tm (0.3074, 0.3074, 0.0109)
Tm (0.3849, 0.3849, 0.4561)
Tm (0.6151, 0.6151, 0.5439)
Tm (0.6926, 0.6926, 0.9891)
Tm (0.9418, 0.9418, 0.2851)
Tl (0.2227, 0.2227, 0.5957)
Tl (0.4778, 0.4778, 0.8252)
Tl (0.5222, 0.5222, 0.1748)
Tl (0.7773, 0.7773, 0.4043)

***

A geometry-optimized Pr2TeBr5 structure. Source: the Alexandria database, functional GGA-PBE.

Properties
**SG**: No. 71
**Density**: 5.19 g cm⁻³
**Final energy**: -4.085 eV per atom
**E_form (uncorrected)**: -1.452 eV per atom

a = 4.9336 Å, b = 9.0655 Å, c = 11.5626 Å
α = 90.00°, β = 90.00°, γ = 90.00°
Atoms (fractional coordinates):
Pr (0.0000, 0.0000, 0.2493)
Pr (0.0000, 0.0000, 0.7507)
Pr (0.5000, 0.5000, 0.2507)
Pr (0.5000, 0.5000, 0.7493)
Te (0.0000, 0.5000, 0.5000)
Te (0.5000, 0.0000, 0.0000)
Br (0.0000, 0.0000, 0.5000)
Br (0.0000, 0.3131, 0.1630)
Br (0.0000, 0.3131, 0.8370)
Br (0.0000, 0.6869, 0.1630)
Br (0.0000, 0.6869, 0.8370)
Br (0.5000, 0.1869, 0.3370)
Br (0.5000, 0.1869, 0.6630)
Br (0.5000, 0.5000, 0.0000)
Br (0.5000, 0.8131, 0.3370)
Br (0.5000, 0.8131, 0.6630)